Entry from Alexandria: an optimized crystal structure of RbTl2Ni3F12 (PBE+U).

Results
total magnetic moment	5.468	Bohr magnetons per cell
Fermi-level density of states	4.1	states/eV/cell
energy	-3.938	eV/atom
space-group type	R-3m (166)

```
RbTl2Ni3F12
1.0
3.726 2.151 5.074
-3.726 2.151 5.074
0.000 -4.302 5.074
Rb Tl Ni F
1 2 3 12
Cartesian
0.000 0.000 0.000 Rb
0.000 0.000 5.977 Tl
0.000 0.000 9.246 Tl
-3.726 0.000 7.612 Ni
-1.863 1.076 2.537 Ni
1.863 1.076 2.537 Ni
-2.173 -1.255 7.989 F
0.000 -1.618 4.475 F
-1.401 0.809 4.475 F
0.000 -2.509 7.234 F
-2.173 1.255 7.234 F
-1.401 -0.809 10.748 F
1.401 0.809 4.475 F
2.173 -1.255 7.989 F
0.000 2.509 7.989 F
1.401 -0.809 10.748 F
0.000 1.618 10.748 F
2.173 1.255 7.234 F
```